4
Lattice="-2.280 2.035 -2.646 -2.663 -3.041 -0.044 -3.879 3.312 5.890" Properties=species:S:1:pos:R:3 comment="Pr2ErTe PBE optimized geometry" e_form_raw_ev_per_atom=-0.572 pbc="T T T"
Pr -2.824 2.411 4.287
Pr -1.056 0.901 1.603
Te -4.411 1.153 1.600
Er -2.472 -0.503 -1.345

30
Lattice="-4.059 1.249 -7.961 1.747 -5.280 -1.719 -6.580 -4.062 2.718" Properties=species:S:1:pos:R:3 comment="Li2Bi2P2O9 PBE optimized geometry" e_form_raw_ev_per_atom=-1.968 pbc="T T T"
Li -7.015 -5.577 -3.377
Li -0.615 -2.904 -1.108
Li -4.417 -3.883 -4.706
Li -3.427 -4.534 -0.199
Bi -4.833 -7.912 -0.617
Bi -3.491 -0.356 -5.230
Bi -2.318 -6.186 -2.636
Bi -6.806 -1.837 -4.778
P -5.896 -3.035 -1.945
P -8.190 -4.881 -5.645
P -1.803 -2.874 -3.474
P -4.520 -4.590 -8.004
O -7.603 -3.567 -6.254
O -7.108 -5.952 -5.391
O -8.729 -4.474 -4.231
O -1.779 -2.010 -4.759
O -7.207 -3.102 -1.114
O -3.071 -4.564 -8.566
O -5.272 -6.650 1.408
O -0.409 -3.544 -3.214
O -2.111 -2.040 -2.212
O -2.799 -4.061 -3.668
O -4.399 -4.801 -6.453
O -4.724 -2.048 -5.366
O -1.310 -4.652 -0.526
O -2.952 -1.879 1.186
O -3.931 -6.833 -4.206
O -5.922 -3.952 -3.178
O -3.997 -6.098 -1.259
O -4.710 -3.226 -0.933

5
Lattice="-3.425 -3.101 -0.647 1.821 -2.707 3.335 -2.592 2.196 3.198" Properties=species:S:1:pos:R:3 comment="Li3CrNi PBE optimized geometry" formation_energy_ev_per_atom=1.150 pbc="T T T"
Ni -2.098 -1.806 2.943
Li 0.910 -1.354 1.667
Li -1.296 1.098 1.599
Li -1.713 -1.550 -0.324
Cr 0.000 0.000 0.000

4
Lattice="-2.333 -2.136 0.752 1.973 -1.057 3.122 -3.157 4.711 3.591" Properties=species:S:1:pos:R:3 comment="SrFe2Ag PBE optimized geometry" formation_energy_ev_per_atom=0.622 pbc="T T T"
Ag -2.548 1.937 4.630
Fe -2.891 4.314 3.288
Fe -1.845 2.753 2.098
Sr -0.969 -0.419 2.834

8
Lattice="-4.212 -1.688 0.144 2.726 -6.508 3.477 -0.112 0.946 7.800" Properties=species:S:1:pos:R:3 comment="LaNdTh2Sb4 PBE optimized geometry" e_form_raw_ev_per_atom=-1.084 pbc="T T T"
La 1.307 -2.781 5.638
Nd -0.855 -3.152 9.610
Th -0.112 0.946 7.800
Th -2.162 -0.371 3.972
Sb 1.969 -4.192 8.474
Sb -3.567 -3.058 2.947
Sb -0.077 -5.521 4.620
Sb -1.522 -1.729 6.801

10
Lattice="-5.550 -1.877 -0.584 -1.206 -5.756 0.277 -0.645 0.372 4.928" Properties=species:S:1:pos:R:3 comment="Ti3CdN PBE optimized geometry" e_form_raw_ev_per_atom=-0.739 pbc="T T T"
Cd -4.362 -1.833 -0.005
Cd -3.638 -4.859 2.838
Ti -2.164 -3.744 0.427
Ti -6.424 -5.762 2.542
Ti -5.835 -2.947 2.407
Ti -5.001 -4.704 0.128
Ti -1.575 -0.930 0.292
Ti -2.998 -1.988 2.705
N -1.547 -2.222 4.173
N -1.225 -2.407 1.709

Number 1: final energy -19.552 eV/cell, density of states at the Fermi level 1.257 states/eV/atom. Number 2: final energy -193.099 eV/cell, density of states at the Fermi level 0.000 states/eV/atom. Number 3: final energy -15.395 eV/cell, density of states at the Fermi level 0.889 states/eV/atom. Number 4: final energy -18.972 eV/cell, density of states at the Fermi level 1.523 states/eV/atom. Number 5: final energy -49.698 eV/cell, density of states at the Fermi level 0.571 states/eV/atom. Number 6: final energy -73.240 eV/cell, density of states at the Fermi level 0.488 states/eV/atom.